1.
The following is a DFT calculation (PBE) of a relaxed structure of SrHoCdPt.

Cell and atoms, written as POSCAR:
```
SrHoCdPt
1.0
5.220 0.000 0.000
2.610 4.521 0.000
2.610 1.507 4.262
Cd Pt Sr Ho
1 1 1 1
direct
0.250 0.250 0.250
0.750 0.750 0.750
0.000 0.000 0.000
0.500 0.500 0.500
```

The value obtained for the total energy is -3.843 eV/atom. The calculation puts the theoretical density at 9.25 g/cm3. Its space group is F-43m, No. 216. The crystal system is cubic. The energy of formation is -539 meV per atom.

---

2.
The following is a DFT calculation (PBE) of a relaxed structure of KBaSnSe3.

Cell and atoms, written as POSCAR:
```
KBaSnSe3
1.0
6.920 -0.437 0.087
2.856 6.318 0.087
2.728 1.641 9.333
Se Ba K Sn
6 2 2 2
direct
0.811 0.375 0.160
0.201 0.201 0.608
0.189 0.625 0.840
0.625 0.189 0.840
0.375 0.811 0.160
0.799 0.799 0.392
0.323 0.323 0.155
0.677 0.677 0.845
0.262 0.738 0.500
0.738 0.262 0.500
0.020 0.020 0.847
0.980 0.980 0.153
```

The value obtained for the total energy is -3.963 eV/atom. The calculation puts the theoretical density at 4.23 g/cm3. The energy relative to the elements, uncorrected comes out at -24.22 kcal/mol of atoms. Its space group is C2/m, No. 12. The crystal system is monoclinic.

---

3.
The following is a DFT calculation (PBE) of a relaxed structure of NaSbNF2.

Cell and atoms, written as POSCAR:
```
NaSbNF2
1.0
3.922 0.000 0.000
0.000 3.922 0.000
0.000 0.000 4.537
N F Sb Na
1 2 1 1
direct
0.000 0.000 0.500
0.500 0.000 0.000
0.000 0.500 0.000
0.500 0.500 0.500
0.000 0.000 0.000
```

The value obtained for the total energy is -3.967 eV/atom. The calculation puts the theoretical density at 4.68 g/cm3. The energy relative to the elements, uncorrected comes out at -10.73 kcal/mol of atoms. The value obtained for the energy above the most stable polymorph in this dataset is 654 meV/atom. Its space group is P4/mmm, No. 123. The crystal system is tetragonal.

---

4.
The following is a DFT calculation (PBE) of a relaxed structure of TaSi3Hg.

Cell and atoms, written as POSCAR:
```
TaSi3Hg
1.0
4.861 0.000 0.000
0.000 4.861 0.000
0.000 0.000 4.861
Hg Si Ta
1 3 1
direct
0.000 0.000 0.000
0.000 0.500 0.000
0.500 0.000 0.000
0.000 0.000 0.500
0.500 0.500 0.500
```

The value obtained for the total energy is -3.841 eV/atom. The calculation puts the theoretical density at 6.73 g/cm3. The energy relative to the elements, uncorrected comes out at 42.51 kcal/mol of atoms. The value obtained for the energy above the most stable polymorph in this dataset is 1224 meV/atom. Its space group is Pm-3m, No. 221. The crystal system is cubic.

---

5.
The following is a DFT calculation (PBE) of a relaxed structure of HfNbIn2.

Cell and atoms, written as POSCAR:
```
HfNbIn2
1.0
4.531 0.000 0.000
0.000 4.264 0.000
0.000 0.000 4.264
Hf In Nb
1 2 1
direct
0.500 0.000 0.000
0.000 0.000 0.500
0.000 0.500 0.000
0.500 0.500 0.500
```

The value obtained for the total energy is -6.446 eV/atom. The calculation puts the theoretical density at 10.10 g/cm3. The value obtained for the energy above the most stable polymorph in this dataset is 0 meV/atom. Its space group is P4/mmm, No. 123. The crystal system is tetragonal. The energy of formation is -71 meV per atom.

---

6.
The following is a DFT calculation (PBE) of a relaxed structure of Zr2AsS.

Cell and atoms, written as POSCAR:
```
Zr2AsS
1.0
3.801 0.000 0.000
1.900 3.291 0.000
1.900 1.097 6.173
As S Zr
1 1 2
direct
0.500 0.500 0.500
0.000 0.000 0.000
0.260 0.260 0.219
0.740 0.740 0.781
```

The value obtained for the total energy is -7.704 eV/atom. The calculation puts the theoretical density at 6.22 g/cm3. The energy relative to the elements, uncorrected comes out at -28.49 kcal/mol of atoms. The value obtained for the energy above the most stable polymorph in this dataset is 4 meV/atom. Its space group is R-3m, No. 166. The crystal system is trigonal.

---

7.
The following is a DFT calculation (PBE) of a relaxed structure of PmHo3Er4.

Cell and atoms, written as POSCAR:
```
PmHo3Er4
1.0
-1.980 3.380 -4.861
-4.817 -5.142 -1.614
-7.549 5.013 6.560
Ho Pm Er
6 2 8
direct
0.147 0.374 0.500
0.981 0.627 0.750
0.481 0.373 0.750
0.647 0.626 0.000
0.481 0.373 0.250
0.981 0.627 0.250
0.148 0.374 0.000
0.648 0.626 0.500
0.147 0.876 0.000
0.647 0.124 0.500
0.649 0.124 0.000
0.149 0.876 0.500
0.981 0.124 0.252
0.981 0.124 0.748
0.481 0.876 0.752
0.481 0.876 0.248
```

The value obtained for the total energy is -4.587 eV/atom. The calculation puts the theoretical density at 8.61 g/cm3. The value obtained for the energy above the most stable polymorph in this dataset is 0 meV/atom. Its space group is Pmn2_1, No. 31. The crystal system is orthorhombic. The energy of formation is 5 meV per atom.

---

8.
The following is a DFT calculation (PBE) of a relaxed structure of SrTlPd.

Cell and atoms, written as POSCAR:
```
SrTlPd
1.0
3.731 0.000 0.000
0.000 3.731 0.000
-1.865 -1.865 5.573
Pd Sr Tl
1 1 1
direct
0.638 0.638 0.276
0.958 0.958 0.916
0.254 0.254 0.508
```

The value obtained for the total energy is -3.481 eV/atom. The calculation puts the theoretical density at 8.53 g/cm3. Its space group is I4mm, No. 107. The crystal system is tetragonal. The energy of formation is -401 meV per atom.

---

9.
The following is a DFT calculation (PBE) of a relaxed structure of CsGaNiCl6.

Cell and atoms, written as POSCAR:
```
CsGaNiCl6
1.0
6.279 0.000 0.000
3.140 5.438 0.000
0.000 0.000 7.912
Cl Ni Cs Ga
6 1 1 1
direct
0.628 0.001 0.328
0.001 0.371 0.328
0.001 0.628 0.672
0.371 0.001 0.672
0.371 0.628 0.328
0.628 0.371 0.672
0.667 0.667 0.500
0.000 0.000 0.000
0.333 0.333 0.500
```

The value obtained for the total energy is -3.430 eV/atom. The calculation puts the theoretical density at 2.91 g/cm3. The energy relative to the elements, uncorrected comes out at -25.96 kcal/mol of atoms. Its space group is P312, No. 149. The crystal system is trigonal.

---

10.
The following is a DFT calculation (PBE) of a relaxed structure of Dy6Th2Sc5.

Cell and atoms, written as POSCAR:
```
Dy6Th2Sc5
1.0
3.487 0.000 0.000
0.000 11.344 0.000
0.000 0.000 19.366
Th Sc Dy
4 10 12
direct
0.000 0.341 0.277
0.000 0.659 0.723
0.000 0.159 0.777
0.000 0.841 0.223
0.500 0.102 0.220
0.500 0.398 0.720
0.500 0.804 0.059
0.500 0.196 0.941
0.500 0.602 0.280
0.500 0.000 0.500
0.500 0.500 0.000
0.500 0.696 0.559
0.500 0.304 0.441
0.500 0.898 0.780
0.000 0.916 0.637
0.000 0.561 0.424
0.500 0.825 0.378
0.500 0.175 0.622
0.500 0.325 0.122
0.000 0.439 0.576
0.000 0.416 0.863
0.000 0.939 0.924
0.000 0.584 0.137
0.500 0.675 0.878
0.000 0.061 0.076
0.000 0.084 0.363
```

The value obtained for the total energy is -5.571 eV/atom. The calculation puts the theoretical density at 7.21 g/cm3. Its space group is Pbam, No. 55. The crystal system is orthorhombic. The energy of formation is 130 meV per atom.

---

11.
The following is a DFT calculation (PBE) of a relaxed structure of AsSeBr2F.

Cell and atoms, written as POSCAR:
```
AsSeBr2F
1.0
5.155 0.000 0.000
0.000 5.155 0.000
0.000 0.000 5.414
Br F Se As
2 1 1 1
direct
0.000 0.500 0.000
0.500 0.000 0.000
0.500 0.500 0.500
0.000 0.000 0.000
0.000 0.000 0.500
```

The value obtained for the total energy is -2.354 eV/atom. The calculation puts the theoretical density at 3.84 g/cm3. The energy relative to the elements, uncorrected comes out at 7.30 kcal/mol of atoms. The value obtained for the energy above the most stable polymorph in this dataset is 180 meV/atom. Its space group is P4/mmm, No. 123. The crystal system is tetragonal.

---

12.
The following is a DFT calculation (PBE) of a relaxed structure of PmHo6Hg.

Cell and atoms, written as POSCAR:
```
PmHo6Hg
1.0
-0.853 -0.017 -9.223
4.895 -4.708 -5.099
-1.337 -4.154 -4.518
Pm Ho Hg
1 6 1
direct
0.500 0.500 0.500
0.958 0.560 0.242
0.439 0.760 0.841
0.240 0.041 0.279
0.760 0.959 0.721
0.042 0.440 0.758
0.561 0.240 0.159
0.000 0.000 0.000
```

The value obtained for the total energy is -4.069 eV/atom. The calculation puts the theoretical density at 9.05 g/cm3. Its space group is R-3, No. 148. The crystal system is trigonal. The energy of formation is -4 meV per atom.